# 1
Entry from the Alexandria database: a crystal of SbTeSe2Br relaxed with PBEsol (meta-GGA SCAN).

Geometry as CIF:
```
data_SbTeSe2Br
_space_group_name_H-M_alt 'P 4/m m m'
_space_group_IT_number 123
_space_group_name_Hall '-P 4 2'
_cell_length_a 5.337
_cell_length_b 5.337
_cell_length_c 5.213
_cell_angle_alpha 90.00
_cell_angle_beta 90.00
_cell_angle_gamma 90.00
loop_
_atom_site_label
_atom_site_type_symbol
_atom_site_fract_x
_atom_site_fract_y
_atom_site_fract_z
Sb1 Sb 0.000 0.000 0.000
Te1 Te 0.500 0.500 0.500
Se1 Se 0.000 0.500 0.000
Br1 Br 0.000 0.000 0.500
```

---

# 2
Entry from the Alexandria database: a crystal of SbSeCl2 relaxed with PBEsol (meta-GGA SCAN).

Properties
* relative energy among the computed polymorphs: 0 meV/atom

Geometry as CIF:
```
data_SbSeCl2
_space_group_name_H-M_alt 'P 1 m 1'
_space_group_IT_number 6
_cell_length_a 5.509
_cell_length_b 3.890
_cell_length_c 5.527
_cell_angle_alpha 90.00
_cell_angle_beta 119.52
_cell_angle_gamma 90.00
loop_
_space_group_symop_operation_xyz
'x,y,z'
'x,-y,z'
loop_
_atom_site_label
_atom_site_type_symbol
_atom_site_fract_x
_atom_site_fract_y
_atom_site_fract_z
Sb1 Sb 0.000 0.000 0.000
Se1 Se 0.819 0.500 0.606
Cl1 Cl 0.262 0.500 0.497
Cl2 Cl 0.468 0.000 0.060
```

---

| no. | total energy (eV/atom) |
| --- | --- |
| 1 | -26.391 |
| 2 | -18.717 |